Entry 1:
Below is a relaxed structure of Tm3Ge2, with properties calculated at the PBE level.

The energy relative to the elements is -0.64 eV per atom. Its space group is C2/m, No. 12. For the calculated volume, the calculation gives 26.65 Å³ per atom. The calculated density comes out at 8.13 g/cm3. Its raw total energy is -77.5 eV for the cell shown.

Cell and atoms, written as CIF:
```
data_Tm3Ge2
_chemical_formula_sum 'Tm9 Ge6'
_cell_length_a 8.8931
_cell_length_b 8.8931
_cell_length_c 10.6774
_cell_angle_alpha 97.38
_cell_angle_beta 97.38
_cell_angle_gamma 28.53
_space_group_name_H-M_alt 'P 1'
_space_group_IT_number 1
loop_
_space_group_symop_operation_xyz
'x,y,z'
loop_
_atom_site_label
_atom_site_fract_x
_atom_site_fract_y
_atom_site_fract_z
Tm1 0.0000 0.0000 0.0000
Tm2 0.0335 0.0335 0.6582
Tm3 0.2918 0.2918 0.3771
Tm4 0.3253 0.3253 0.0375
Tm5 0.3722 0.3722 0.7145
Tm6 0.6278 0.6278 0.2855
Tm7 0.6747 0.6747 0.9625
Tm8 0.7082 0.7082 0.6229
Tm9 0.9665 0.9665 0.3418
Ge1 0.1393 0.1393 0.4727
Ge2 0.1742 0.1742 0.1315
Ge3 0.4677 0.4677 0.1827
Ge4 0.5323 0.5323 0.8173
Ge5 0.8258 0.8258 0.8685
Ge6 0.8607 0.8607 0.5273
```

=====

Entry 2:
Below is a relaxed structure of Ag3O4, with properties calculated at the PBE level.

Its space group is P2_1/c, No. 14. The uncorrected formation energy comes out at 0.004 eV per atom. For the calculated volume, the calculation gives 14.00 Å³ per atom. The calculated density comes out at 6.57 g/cm3. Its raw total energy is -56.7 eV for the cell shown.

Cell and atoms, written as CIF:
```
data_Ag3O4
_chemical_formula_sum 'Ag6 O8'
_cell_length_a 3.7678
_cell_length_b 9.3522
_cell_length_c 5.7436
_cell_angle_alpha 90.00
_cell_angle_beta 104.44
_cell_angle_gamma 90.00
_space_group_name_H-M_alt 'P 1'
_space_group_IT_number 1
loop_
_space_group_symop_operation_xyz
'x,y,z'
loop_
_atom_site_label
_atom_site_fract_x
_atom_site_fract_y
_atom_site_fract_z
Ag1 0.0000 0.0000 0.0000
Ag2 0.0000 0.5000 0.5000
Ag3 0.2938 0.1418 0.5510
Ag4 0.2938 0.3582 0.0510
Ag5 0.7062 0.6418 0.9490
Ag6 0.7062 0.8582 0.4490
O1 0.0518 0.1919 0.8305
O2 0.0518 0.3081 0.3305
O3 0.4688 0.0435 0.2712
O4 0.4688 0.4565 0.7712
O5 0.5312 0.5435 0.2288
O6 0.5312 0.9565 0.7288
O7 0.9482 0.6919 0.6695
O8 0.9482 0.8081 0.1695
```

=====

Entry 3:
Below is a relaxed structure of AlPd2WCl, with properties calculated at the PBE level.

Its space group is P4/mmm, No. 123. The uncorrected formation energy comes out at 0.810 eV per atom. For the calculated volume, the calculation gives 22.41 Å³ per atom. The calculated density comes out at 6.81 g/cm3. Its raw total energy is -24.9 eV for the cell shown.

Cell and atoms, written as CIF:
```
data_AlPd2WCl
_chemical_formula_sum 'Al1 Pd2 W1 Cl1'
_cell_length_a 4.9941
_cell_length_b 4.9941
_cell_length_c 4.4919
_cell_angle_alpha 90.00
_cell_angle_beta 90.00
_cell_angle_gamma 90.00
_space_group_name_H-M_alt 'P 1'
_space_group_IT_number 1
loop_
_space_group_symop_operation_xyz
'x,y,z'
loop_
_atom_site_label
_atom_site_fract_x
_atom_site_fract_y
_atom_site_fract_z
Al1 0.0000 0.0000 0.0000
Pd1 0.0000 0.5000 0.5000
Pd2 0.5000 0.0000 0.5000
W1 0.5000 0.5000 0.5000
Cl1 0.5000 0.5000 0.0000
```

=====

Entry 4:
Below is a relaxed structure of ThIrCl, with properties calculated at the PBE level.

Its space group is P2_1/m, No. 11. The uncorrected formation energy comes out at -1.193 eV per atom. For the calculated volume, the calculation gives 24.87 Å³ per atom. The calculated density comes out at 10.23 g/cm3. Its raw total energy is -43.4 eV for the cell shown.

Cell and atoms, written as CIF:
```
data_ThIrCl
_chemical_formula_sum 'Th2 Ir2 Cl2'
_cell_length_a 4.8761
_cell_length_b 4.2307
_cell_length_c 7.5641
_cell_angle_alpha 90.00
_cell_angle_beta 107.01
_cell_angle_gamma 90.00
_space_group_name_H-M_alt 'P 1'
_space_group_IT_number 1
loop_
_space_group_symop_operation_xyz
'x,y,z'
loop_
_atom_site_label
_atom_site_fract_x
_atom_site_fract_y
_atom_site_fract_z
Th1 0.1281 0.2500 0.2146
Th2 0.8719 0.7500 0.7854
Ir1 0.3788 0.7500 0.0506
Ir2 0.6212 0.2500 0.9494
Cl1 0.2564 0.7500 0.5284
Cl2 0.7436 0.2500 0.4716
```

=====

Entry 5:
Below is a relaxed structure of LaSm2Si2, with properties calculated at the PBE level.

Its space group is C2/m, No. 12. The uncorrected formation energy comes out at -0.527 eV per atom. For the calculated volume, the calculation gives 26.21 Å³ per atom. The calculated density comes out at 6.28 g/cm3. Its raw total energy is -55.7 eV for the cell shown.

Cell and atoms, written as CIF:
```
data_LaSm2Si2
_chemical_formula_sum 'La2 Sm4 Si4'
_cell_length_a 6.6555
_cell_length_b 6.6555
_cell_length_c 10.4558
_cell_angle_alpha 115.31
_cell_angle_beta 115.31
_cell_angle_gamma 39.43
_space_group_name_H-M_alt 'P 1'
_space_group_IT_number 1
loop_
_space_group_symop_operation_xyz
'x,y,z'
loop_
_atom_site_label
_atom_site_fract_x
_atom_site_fract_y
_atom_site_fract_z
La1 0.2138 0.2138 0.3445
La2 0.7862 0.7862 0.6555
Sm1 0.3126 0.3126 0.9130
Sm2 0.4874 0.4874 0.3149
Sm3 0.5126 0.5126 0.6851
Sm4 0.6874 0.6874 0.0870
Si1 0.0392 0.0392 0.9094
Si2 0.1077 0.1077 0.5599
Si3 0.8923 0.8923 0.4401
Si4 0.9608 0.9608 0.0906
```

=====

Entry 6:
Below is a relaxed structure of Ce3Os, with properties calculated at the PBE level.

The energy relative to the elements is -0.10 eV per atom. Its space group is P4_2/n, No. 86. For the calculated volume, the calculation gives 24.63 Å³ per atom. The calculated density comes out at 10.29 g/cm3. Its raw total energy is -235.4 eV for the cell shown.

Cell and atoms, written as CIF:
```
data_Ce3Os
_chemical_formula_sum 'Ce24 Os8'
_cell_length_a 11.7230
_cell_length_b 11.7230
_cell_length_c 5.7340
_cell_angle_alpha 90.00
_cell_angle_beta 90.00
_cell_angle_gamma 90.00
_space_group_name_H-M_alt 'P 1'
_space_group_IT_number 1
loop_
_space_group_symop_operation_xyz
'x,y,z'
loop_
_atom_site_label
_atom_site_fract_x
_atom_site_fract_y
_atom_site_fract_z
Ce1 0.0467 0.9143 0.2442
Ce2 0.0857 0.5467 0.7442
Ce3 0.1148 0.3049 0.4993
Ce4 0.1208 0.8333 0.8072
Ce5 0.1667 0.6208 0.3072
Ce6 0.1951 0.1148 0.0007
Ce7 0.3049 0.3852 0.0007
Ce8 0.3333 0.8792 0.3072
Ce9 0.3792 0.6667 0.8072
Ce10 0.3852 0.1951 0.4993
Ce11 0.4143 0.9533 0.7442
Ce12 0.4533 0.5857 0.2442
Ce13 0.5467 0.4143 0.7558
Ce14 0.5857 0.0467 0.2558
Ce15 0.6148 0.8049 0.5007
Ce16 0.6208 0.3333 0.1928
Ce17 0.6667 0.1208 0.6928
Ce18 0.6951 0.6148 0.9993
Ce19 0.8049 0.8852 0.9993
Ce20 0.8333 0.3792 0.6928
Ce21 0.8792 0.1667 0.1928
Ce22 0.8852 0.6951 0.5007
Ce23 0.9143 0.4533 0.2558
Ce24 0.9533 0.0857 0.7558
Os1 0.0609 0.3251 0.9876
Os2 0.1749 0.0609 0.5124
Os3 0.3251 0.4391 0.5124
Os4 0.4391 0.1749 0.9876
Os5 0.5609 0.8251 0.0124
Os6 0.6749 0.5609 0.4876
Os7 0.8251 0.9391 0.4876
Os8 0.9391 0.6749 0.0124
```

=====

Entry 7:
Below is a relaxed structure of LiCu4P3O12, with properties calculated at the PBE level.

Its space group is Pnma, No. 62. The uncorrected formation energy comes out at -1.544 eV per atom. For the calculated volume, the calculation gives 11.14 Å³ per atom. The calculated density comes out at 4.07 g/cm3. Its raw total energy is -499.6 eV for the cell shown.

Cell and atoms, written as CIF:
```
data_LiCu4P3O12
_chemical_formula_sum 'Li4 Cu16 P12 O48'
_cell_length_a 6.0246
_cell_length_b 14.4215
_cell_length_c 10.2592
_cell_angle_alpha 90.00
_cell_angle_beta 90.00
_cell_angle_gamma 90.00
_space_group_name_H-M_alt 'P 1'
_space_group_IT_number 1
loop_
_space_group_symop_operation_xyz
'x,y,z'
loop_
_atom_site_label
_atom_site_fract_x
_atom_site_fract_y
_atom_site_fract_z
Li1 0.0668 0.2500 0.2267
Li2 0.4332 0.7500 0.7267
Li3 0.5668 0.2500 0.2733
Li4 0.9332 0.7500 0.7733
Cu1 0.0483 0.6336 0.3488
Cu2 0.0483 0.8664 0.3488
Cu3 0.1444 0.5858 0.9407
Cu4 0.1444 0.9142 0.9407
Cu5 0.3556 0.0858 0.4407
Cu6 0.3556 0.4142 0.4407
Cu7 0.4517 0.1336 0.8488
Cu8 0.4517 0.3664 0.8488
Cu9 0.5483 0.6336 0.1512
Cu10 0.5483 0.8664 0.1512
Cu11 0.6444 0.5858 0.5593
Cu12 0.6444 0.9142 0.5593
Cu13 0.8556 0.0858 0.0593
Cu14 0.8556 0.4142 0.0593
Cu15 0.9517 0.1336 0.6512
Cu16 0.9517 0.3664 0.6512
P1 0.0270 0.2500 0.9005
P2 0.1330 0.5728 0.6338
P3 0.1330 0.9272 0.6338
P4 0.3670 0.0728 0.1338
P5 0.3670 0.4272 0.1338
P6 0.4730 0.7500 0.4005
P7 0.5270 0.2500 0.5995
P8 0.6330 0.5728 0.8662
P9 0.6330 0.9272 0.8662
P10 0.8670 0.0728 0.3662
P11 0.8670 0.4272 0.3662
P12 0.9730 0.7500 0.0995
O1 0.0362 0.0121 0.7029
O2 0.0362 0.4879 0.7029
O3 0.0384 0.7500 0.9555
O4 0.0437 0.1130 0.4677
O5 0.0437 0.3870 0.4677
O6 0.0665 0.6605 0.1628
O7 0.0665 0.8395 0.1628
O8 0.1631 0.0483 0.0458
O9 0.1631 0.4517 0.0458
O10 0.1837 0.6468 0.7376
O11 0.1837 0.8532 0.7376
O12 0.2080 0.7500 0.3871
O13 0.2920 0.2500 0.8871
O14 0.3163 0.1468 0.2376
O15 0.3163 0.3532 0.2376
O16 0.3369 0.5483 0.5458
O17 0.3369 0.9517 0.5458
O18 0.4335 0.1605 0.6628
O19 0.4335 0.3395 0.6628
O20 0.4563 0.6130 0.9677
O21 0.4563 0.8870 0.9677
O22 0.4616 0.2500 0.4555
O23 0.4638 0.5121 0.2029
O24 0.4638 0.9879 0.2029
O25 0.5362 0.0121 0.7971
O26 0.5362 0.4879 0.7971
O27 0.5384 0.7500 0.5445
O28 0.5437 0.1130 0.0323
O29 0.5437 0.3870 0.0323
O30 0.5665 0.6605 0.3372
O31 0.5665 0.8395 0.3372
O32 0.6631 0.0483 0.4542
O33 0.6631 0.4517 0.4542
O34 0.6837 0.6468 0.7624
O35 0.6837 0.8532 0.7624
O36 0.7080 0.7500 0.1129
O37 0.7920 0.2500 0.6129
O38 0.8163 0.1468 0.2624
O39 0.8163 0.3532 0.2624
O40 0.8369 0.5483 0.9542
O41 0.8369 0.9517 0.9542
O42 0.9335 0.1605 0.8372
O43 0.9335 0.3395 0.8372
O44 0.9563 0.6130 0.5323
O45 0.9563 0.8870 0.5323
O46 0.9616 0.2500 0.0445
O47 0.9638 0.5121 0.2971
O48 0.9638 0.9879 0.2971
```

=====

Entry 8:
Below is a relaxed structure of La6GaSn2, with properties calculated at the PBE level.

The energy relative to the elements is -0.56 eV per atom. Its space group is Amm2, No. 38. For the calculated volume, the calculation gives 32.45 Å³ per atom. The calculated density comes out at 6.49 g/cm3. Its raw total energy is -45.6 eV for the cell shown.

Cell and atoms, written as CIF:
```
data_La6GaSn2
_chemical_formula_sum 'La6 Ga1 Sn2'
_cell_length_a 4.6120
_cell_length_b 8.5062
_cell_length_c 8.5062
_cell_angle_alpha 118.94
_cell_angle_beta 90.00
_cell_angle_gamma 90.00
_space_group_name_H-M_alt 'P 1'
_space_group_IT_number 1
loop_
_space_group_symop_operation_xyz
'x,y,z'
loop_
_atom_site_label
_atom_site_fract_x
_atom_site_fract_y
_atom_site_fract_z
La1 0.0000 0.0000 0.0000
La2 0.0000 0.4944 0.7183
La3 0.0000 0.7183 0.4944
La4 0.5000 0.1547 0.7384
La5 0.5000 0.2907 0.2907
La6 0.5000 0.7384 0.1547
Ga1 0.5000 0.7593 0.7593
Sn1 0.0000 0.0594 0.4113
Sn2 0.0000 0.4113 0.0594
```

=====

- The highest raw total energy belongs to which entry?
  AlPd2WCl

=====

- The lowest calculated volume belongs to which entry?
  LiCu4P3O12

=====

- Which formula does entry 5 have?
  LaSm2Si2